No. 1
# PBE Y6Cu2N, optimized geometry
data_Y6Cu2N
_chemical_formula_sum 'Y12 Cu4 N2'
_cell_length_a 6.485
_cell_length_b 6.895
_cell_length_c 11.526
_cell_angle_alpha 90.00
_cell_angle_beta 123.49
_cell_angle_gamma 90.00
_symmetry_space_group_name_H-M 'P 1 21/c 1'
_symmetry_Int_Tables_number 14
_symmetry_space_group_name_Hall '-P 2ybc'
loop_
_atom_site_label
_atom_site_type_symbol
_atom_site_fract_x
_atom_site_fract_y
_atom_site_fract_z
Y1 Y 0.123 0.027 0.242
Y2 Y 0.245 0.706 0.058
Y3 Y 0.356 0.194 0.058
Cu1 Cu 0.290 0.076 0.751
N1 N 0.000 0.000 0.000
# E_form (uncorrected) ... -45.7 kJ per mole of atoms
# Total magnetization ... 0.0 Bohr magnetons per cell
# DOS(E_F) ... 1.02 states/eV per atom

=====

No. 2
# PBE YCuN, optimized geometry
data_YCuN
_chemical_formula_sum 'Y4 Cu4 N4'
_cell_length_a 3.351
_cell_length_b 6.872
_cell_length_c 7.437
_cell_angle_alpha 90.00
_cell_angle_beta 90.00
_cell_angle_gamma 90.00
_symmetry_space_group_name_H-M 'I m m m'
_symmetry_Int_Tables_number 71
_symmetry_space_group_name_Hall '-I 2 2'
loop_
_atom_site_label
_atom_site_type_symbol
_atom_site_fract_x
_atom_site_fract_y
_atom_site_fract_z
Y1 Y 0.000 0.218 0.000
Cu1 Cu 0.000 0.000 0.333
N1 N 0.000 0.500 0.314
# E_form (uncorrected) ... -29.5 kJ per mole of atoms
# Total magnetization ... 0.0 Bohr magnetons per cell
# DOS(E_F) ... 0.25 states/eV per atom

=====

No. 3
# PBE YCu2N, optimized geometry
data_YCu2N
_chemical_formula_sum 'Y4 Cu8 N4'
_cell_length_a 5.890
_cell_length_b 5.890
_cell_length_c 8.333
_cell_angle_alpha 90.00
_cell_angle_beta 90.00
_cell_angle_gamma 90.00
_symmetry_space_group_name_H-M 'I -4 2 d'
_symmetry_Int_Tables_number 122
_symmetry_space_group_name_Hall 'I -4 2bw'
loop_
_atom_site_label
_atom_site_type_symbol
_atom_site_fract_x
_atom_site_fract_y
_atom_site_fract_z
Y1 Y 0.000 0.000 0.000
Cu1 Cu 0.002 0.750 0.625
N1 N 0.000 0.000 0.500
# E_form (uncorrected) ... 26.1 kJ per mole of atoms
# Total magnetization ... 0.0 Bohr magnetons per cell
# DOS(E_F) ... 0.85 states/eV per atom

=====

No. 4
# PBE Y2Cu2N, optimized geometry
data_Y2Cu2N
_chemical_formula_sum 'Y4 Cu4 N2'
_cell_length_a 3.244
_cell_length_b 3.244
_cell_length_c 15.784
_cell_angle_alpha 90.00
_cell_angle_beta 90.00
_cell_angle_gamma 90.00
_symmetry_space_group_name_H-M 'I 4/m m m'
_symmetry_Int_Tables_number 139
_symmetry_space_group_name_Hall '-I 4 2'
loop_
_atom_site_label
_atom_site_type_symbol
_atom_site_fract_x
_atom_site_fract_y
_atom_site_fract_z
Y1 Y 0.000 0.000 0.091
Cu1 Cu 0.000 0.500 0.250
N1 N 0.000 0.000 0.500
# E above lowest polymorph ... 0.00 kJ per mole of atoms
# E_form (uncorrected) ... -16.9 kJ per mole of atoms
# Total magnetization ... 0.0 Bohr magnetons per cell
# DOS(E_F) ... 0.66 states/eV per atom

=====

No. 5
# PBE Y4Cu2N, optimized geometry
data_Y4Cu2N
_chemical_formula_sum 'Y8 Cu4 N2'
_cell_length_a 4.755
_cell_length_b 4.755
_cell_length_c 13.738
_cell_angle_alpha 90.00
_cell_angle_beta 90.00
_cell_angle_gamma 90.00
_symmetry_space_group_name_H-M 'I 4/m m m'
_symmetry_Int_Tables_number 139
_symmetry_space_group_name_Hall '-I 4 2'
loop_
_atom_site_label
_atom_site_type_symbol
_atom_site_fract_x
_atom_site_fract_y
_atom_site_fract_z
Y1 Y 0.000 0.000 0.180
Y2 Y 0.000 0.500 0.000
Cu1 Cu 0.000 0.000 0.378
N1 N 0.000 0.000 0.000
# E_form (uncorrected) ... -48.4 kJ per mole of atoms
# Total magnetization ... 0.0 Bohr magnetons per cell
# DOS(E_F) ... 1.35 states/eV per atom

=====

No. 6
# PBE Y2ZrCuN, optimized geometry
data_Y2ZrCuN
_chemical_formula_sum 'Y2 Zr1 Cu1 N1'
_cell_length_a 4.772
_cell_length_b 4.772
_cell_length_c 4.412
_cell_angle_alpha 90.00
_cell_angle_beta 90.00
_cell_angle_gamma 90.00
_symmetry_space_group_name_H-M 'P 4/m m m'
_symmetry_Int_Tables_number 123
_symmetry_space_group_name_Hall '-P 4 2'
loop_
_atom_site_label
_atom_site_type_symbol
_atom_site_fract_x
_atom_site_fract_y
_atom_site_fract_z
Y1 Y 0.000 0.500 0.000
Zr1 Zr 0.000 0.000 0.500
Cu1 Cu 0.500 0.500 0.500
N1 N 0.000 0.000 0.000
# E_form (uncorrected) ... -60.1 kJ per mole of atoms
# Total magnetization ... 0.0 Bohr magnetons per cell
# DOS(E_F) ... 1.09 states/eV per atom

=====

No. 7
# PBE ZnCuN3, optimized geometry
data_ZnCuN3
_chemical_formula_sum 'Zn1 Cu1 N3'
_cell_length_a 3.811
_cell_length_b 3.811
_cell_length_c 3.811
_cell_angle_alpha 90.00
_cell_angle_beta 90.00
_cell_angle_gamma 90.00
_symmetry_space_group_name_H-M 'P m -3 m'
_symmetry_Int_Tables_number 221
_symmetry_space_group_name_Hall '-P 4 2 3'
loop_
_atom_site_label
_atom_site_type_symbol
_atom_site_fract_x
_atom_site_fract_y
_atom_site_fract_z
Zn1 Zn 0.000 0.000 0.000
Cu1 Cu 0.500 0.500 0.500
N1 N 0.000 0.000 0.500
# E_form (uncorrected) ... 222.2 kJ per mole of atoms
# Total magnetization ... 0.0 Bohr magnetons per cell
# DOS(E_F) ... 1.29 states/eV per atom

=====

No. 8
# PBE ZnCuN3, optimized geometry
data_ZnCuN3
_chemical_formula_sum 'Zn1 Cu1 N3'
_cell_length_a 3.747
_cell_length_b 3.747
_cell_length_c 3.747
_cell_angle_alpha 90.00
_cell_angle_beta 90.00
_cell_angle_gamma 90.00
_symmetry_space_group_name_H-M 'P m -3 m'
_symmetry_Int_Tables_number 221
_symmetry_space_group_name_Hall '-P 4 2 3'
loop_
_atom_site_label
_atom_site_type_symbol
_atom_site_fract_x
_atom_site_fract_y
_atom_site_fract_z
Zn1 Zn 0.000 0.000 0.000
Cu1 Cu 0.500 0.500 0.500
N1 N 0.000 0.500 0.500
# E_form (uncorrected) ... 193.6 kJ per mole of atoms
# Total magnetization ... 0.0 Bohr magnetons per cell
# DOS(E_F) ... 1.14 states/eV per atom

=====

No. 9
# PBE ZnCuN2, optimized geometry
data_ZnCuN2
_chemical_formula_sum 'Zn4 Cu4 N8'
_cell_length_a 4.482
_cell_length_b 4.482
_cell_length_c 9.159
_cell_angle_alpha 90.00
_cell_angle_beta 90.00
_cell_angle_gamma 90.00
_symmetry_space_group_name_H-M 'I -4 2 d'
_symmetry_Int_Tables_number 122
_symmetry_space_group_name_Hall 'I -4 2bw'
loop_
_atom_site_label
_atom_site_type_symbol
_atom_site_fract_x
_atom_site_fract_y
_atom_site_fract_z
Zn1 Zn 0.000 0.000 0.000
Cu1 Cu 0.000 0.000 0.500
N1 N 0.228 0.250 0.625
# E_form (uncorrected) ... 76.2 kJ per mole of atoms
# Total magnetization ... 0.0 Bohr magnetons per cell
# DOS(E_F) ... 0.95 states/eV per atom

=====

No. 10
# PBE ZnCuN2, optimized geometry
data_ZnCuN2
_chemical_formula_sum 'Zn3 Cu3 N6'
_cell_length_a 3.0351
_cell_length_b 3.0351
_cell_length_c 17.3959
_cell_angle_alpha 90.00
_cell_angle_beta 90.00
_cell_angle_gamma 120.00
_symmetry_space_group_name_H-M 'R -3 m'
_symmetry_Int_Tables_number 166
_symmetry_space_group_name_Hall '-R 3 2"'
loop_
_atom_site_label
_atom_site_type_symbol
_atom_site_fract_x
_atom_site_fract_y
_atom_site_fract_z
Zn1 Zn 0.0000 0.0000 0.0000
Cu1 Cu 0.0000 0.0000 0.5000
N1 N 0.0000 0.0000 0.3968
# E_form (uncorrected) ... 101.6 kJ per mole of atoms
# Total magnetization ... 0.0 Bohr magnetons per cell
# DOS(E_F) ... 0.93 states/eV per atom

=====

No. 11
# PBE Zn2CuN2, optimized geometry
data_Zn2CuN2
_chemical_formula_sum 'Zn8 Cu4 N8'
_cell_length_a 11.269
_cell_length_b 3.530
_cell_length_c 7.461
_cell_angle_alpha 90.00
_cell_angle_beta 120.81
_cell_angle_gamma 90.00
_symmetry_space_group_name_H-M 'C 1 2/m 1'
_symmetry_Int_Tables_number 12
_symmetry_space_group_name_Hall '-C 2y'
loop_
_atom_site_label
_atom_site_type_symbol
_atom_site_fract_x
_atom_site_fract_y
_atom_site_fract_z
Zn1 Zn 0.088 0.000 0.278
Zn2 Zn 0.154 0.500 0.995
Cu1 Cu 0.130 0.500 0.600
N1 N 0.016 0.500 0.307
N2 N 0.200 0.000 0.139
# E_form (uncorrected) ... 26.5 kJ per mole of atoms
# Total magnetization ... 0.0 Bohr magnetons per cell
# DOS(E_F) ... 0.17 states/eV per atom

=====

No. 12
# PBE ZnCuN2, optimized geometry
data_ZnCuN2
_chemical_formula_sum 'Zn3 Cu3 N6'
_cell_length_a 3.0354
_cell_length_b 3.0354
_cell_length_c 17.0495
_cell_angle_alpha 90.00
_cell_angle_beta 90.00
_cell_angle_gamma 120.00
_symmetry_space_group_name_H-M 'R -3 m'
_symmetry_Int_Tables_number 166
_symmetry_space_group_name_Hall '-R 3 2"'
loop_
_atom_site_label
_atom_site_type_symbol
_atom_site_fract_x
_atom_site_fract_y
_atom_site_fract_z
Zn1 Zn 0.0000 0.0000 0.0000
Cu1 Cu 0.0000 0.0000 0.5000
N1 N 0.0000 0.0000 0.1098
# E_form (uncorrected) ... 89.5 kJ per mole of atoms
# Total magnetization ... 0.0 Bohr magnetons per cell
# DOS(E_F) ... 0.67 states/eV per atom

=====

Q: Which of these has the lowest DOS(E_F)?
A: Zn2CuN2